## Ho2TmMoO8 (GGA+U)

Data for an optimized crystal structure of Ho2TmMoO8.

Summary:
E_tot: -92.8 eV per cell
M_tot: 0.9 μB/cell

The structure in POSCAR format:
```
Ho2TmMoO8
1.0
-0.7640 -4.7347 -1.5261
3.3205 -1.5666 3.4405
-4.9610 -0.6477 4.4926
Ho O Mo Tm
2 8 1 1
Cartesian
-2.4376 -3.6359 4.3222
0.0331 -3.3132 2.0848
-3.9087 -4.6642 2.9062
-0.7031 -4.7044 3.5773
-1.0865 -4.2959 0.3505
-1.3180 -2.6531 6.0565
-1.7014 -2.2446 2.8297
1.8527 -4.5658 1.3877
-4.2572 -2.3832 5.0193
1.5042 -2.2848 3.5008
0.0000 0.0000 0.0000
-2.4805 -0.3238 2.2463
```